1.
A plane-wave DFT calculation with PBE was carried out for a relaxed structure of Cd2RuW.

Summary:
**Space group**: Cmmm, No. 65

```
Cd2RuW
1.0
-0.5969 1.9056 4.9051
1.1940 -5.1228 -0.6162
2.7663 0.6339 0.0903
W Cd Ru
1 2 1
direct
0.0000 0.5000 0.5000
0.0000 0.0000 0.0000
0.5000 0.5000 0.0000
0.5000 0.0000 0.5000
```

2.
A plane-wave DFT calculation with PBE was carried out for a relaxed structure of CdRu3W.

Summary:
**Space group**: Pm-3m, No. 221

```
CdRu3W
1.0
4.6578 0.0000 0.0000
0.0000 4.6578 0.0000
0.0000 0.0000 4.6578
Ru W Cd
3 1 1
direct
0.0000 0.5000 0.0000
0.0000 0.0000 0.5000
0.5000 0.0000 0.0000
0.5000 0.5000 0.5000
0.0000 0.0000 0.0000
```

3.
A plane-wave DFT calculation with PBE was carried out for a relaxed structure of Cd4RuW.

Summary:
**Space group**: F-43m, No. 216

```
Cd4RuW
1.0
4.4814 -1.8530 2.4263
0.9293 1.1459 5.2179
-0.3610 -3.9093 3.7404
Cd W Ru
4 1 1
direct
0.3750 0.3750 0.8749
0.3750 0.8749 0.3750
0.3750 0.3750 0.3750
0.8749 0.3750 0.3750
0.0000 0.0000 0.0000
0.7500 0.7500 0.7500
```

4.
A plane-wave DFT calculation with PBE was carried out for a relaxed structure of CdRuW2.

Summary:
**Space group**: Imm2, No. 44

```
CdRuW2
1.0
5.4480 0.0027 -0.0019
2.5413 4.8190 0.0019
-3.3782 -3.4324 2.5471
Ru W Cd
1 2 1
direct
0.2296 0.7296 0.5000
0.0045 0.0045 0.0000
0.7723 0.2723 0.5000
0.4936 0.4936 0.0000
```

5.
A plane-wave DFT calculation with PBE was carried out for a relaxed structure of Cd2RuW.

Summary:
**Space group**: I4/mmm, No. 139

```
Cd2RuW
1.0
-4.4308 -0.6056 -2.9726
-2.9303 -4.4503 0.6663
2.2025 3.7924 3.0987
Cd W Ru
2 1 1
direct
0.0000 0.0000 0.0000
0.5000 0.5000 0.0000
0.7500 0.2500 0.5000
0.2500 0.7500 0.5000
```

6.
A plane-wave DFT calculation with PBE was carried out for a relaxed structure of Cd2RuW.

Summary:
**Space group**: Imm2, No. 44

```
Cd2RuW
1.0
-1.6700 5.1965 -1.2647
-5.5086 0.9552 -0.3671
4.3551 -1.5602 3.1608
Ru Cd W
1 2 1
direct
0.4772 0.4772 0.0000
0.7360 0.2360 0.5000
0.0098 0.0098 0.0000
0.2769 0.7769 0.5000
```

7.
A plane-wave DFT calculation with PBE was carried out for a relaxed structure of CdRuW2.

Summary:
**Space group**: Cmmm, No. 65

```
CdRuW2
1.0
5.0277 0.0125 -0.0544
-2.0168 4.6055 -0.0544
0.0304 0.0466 2.7957
Ru W Cd
1 2 1
direct
0.0000 0.5000 0.5000
0.5000 0.5000 0.0000
0.0000 0.0000 0.0000
0.5000 0.0000 0.5000
```

8.
A plane-wave DFT calculation with PBE was carried out for a relaxed structure of Cd2RuW.

Summary:
**Space group**: R-3m, No. 166

```
Cd2RuW
1.0
9.7597 -0.0049 -0.0029
9.3343 2.8499 -0.0029
9.3343 1.3908 2.4875
W Cd Ru
1 2 1
direct
0.7500 0.7500 0.7500
0.5027 0.5027 0.5027
0.9973 0.9973 0.9973
0.2500 0.2500 0.2500
```

9.
A plane-wave DFT calculation with PBE was carried out for a relaxed structure of Cd2RuW.

Summary:
**Space group**: Immm, No. 71

```
Cd2RuW
1.0
5.6348 0.0073 0.0091
2.9024 4.8298 -0.0091
-3.7467 -3.3396 2.5612
Cd Ru W
2 1 1
direct
0.5085 0.5085 0.0000
0.9915 0.9915 0.0000
0.7500 0.2500 0.5000
0.2500 0.7500 0.5000
```

10.
A plane-wave DFT calculation with PBE was carried out for a relaxed structure of CdRuW2.

Summary:
**Space group**: Pmm2, No. 25

```
CdRuW2
1.0
-2.1947 -0.9802 1.4944
-0.4448 -2.9828 -2.6097
3.6814 -3.3544 3.2065
Ru W Cd
1 2 1
direct
0.5000 0.5000 0.7829
0.0000 0.0000 0.9902
0.5000 0.5000 0.2226
0.0000 0.0000 0.5042
```

11.
A plane-wave DFT calculation with PBE was carried out for a relaxed structure of CdRuW2.

Summary:
**Space group**: P4/mmm, No. 123

```
CdRuW2
1.0
3.9161 0.0000 0.0000
0.0000 3.9161 0.0000
0.0000 0.0000 4.2311
W Cd Ru
2 1 1
direct
0.5000 0.5000 0.0000
0.0000 0.0000 0.0000
0.5000 0.0000 0.5000
0.0000 0.5000 0.5000
```

12.
A plane-wave DFT calculation with PBE was carried out for a relaxed structure of CdRuW2.

Summary:
**Space group**: C2/m, No. 12

```
CdRuW2
1.0
-4.4448 -0.2989 3.0539
-4.3752 -2.8915 1.2917
0.4504 -2.5021 3.6990
Ru Cd W
1 1 2
direct
0.2500 0.2500 0.2500
0.7500 0.7500 0.7500
0.5143 0.5143 0.4856
0.9857 0.9857 0.0144
```

no.,energy relative to the elements (meV per atom),D(E_F) (states/eV/cell)
1,631.9,4.10
2,2688.6,6.38
3,856.7,5.14
4,513.5,3.26
5,662.6,5.14
6,501.0,2.62
7,505.9,3.02
8,582.8,4.53
9,566.7,3.34
10,421.9,3.28
11,522.6,3.99
12,410.0,2.98